Material: TiWS3
Method: DFT, PBE-GGA
State: optimized geometry

Values from the calculation:
Crystal system: cubic
Formation energy from raw total energies: 0.493 eV/atom
Excess energy over the best structure of this formula in the dataset: 0.2430 eV/atom
Magnetization: 0.778 μB per atom

Cell: 4.631 4.631 4.631 Å, 90.00 90.00 90.00°
Atoms (fractional coordinates):
S (0.000, 0.000, 0.500)
S (0.000, 0.500, 0.000)
S (0.500, 0.000, 0.000)
W (0.500, 0.500, 0.500)
Ti (0.000, 0.000, 0.000)